No. 1
Computed, not measured: a relaxed PmScGeRu crystal at the PBE level of DFT.

energy relative to the elements	-0.42	eV per atom
SG	F-43m
total magnetization	0.00	μB per cell
total energy	-26.67	eV/f.u.

```
data_PmScGeRu
_chemical_formula_sum 'Pm1 Sc1 Ge1 Ru1'
_cell_length_a 4.863
_cell_length_b 4.863
_cell_length_c 4.863
_cell_angle_alpha 60.00
_cell_angle_beta 60.00
_cell_angle_gamma 60.00
_space_group_name_H-M_alt 'P 1'
_space_group_IT_number 1
_space_group_name_Hall 'P 1'
loop_
_atom_site_label
_atom_site_type_symbol
_atom_site_fract_x
_atom_site_fract_y
_atom_site_fract_z
_atom_site_occupancy
Sc1 Sc 0.250 0.250 0.250 1
Ge1 Ge 0.500 0.500 0.500 1
Pm1 Pm 0.750 0.750 0.750 1
Ru1 Ru 0.000 0.000 0.000 1
```

No. 2
Computed, not measured: a relaxed PmSiGeRu2 crystal at the PBE level of DFT.

SG	P4mm
total magnetization	0.00	μB per cell
total energy	-35.12	eV/f.u.

```
data_PmSiGeRu2
_chemical_formula_sum 'Pm1 Si1 Ge1 Ru2'
_cell_length_a 4.262
_cell_length_b 4.263
_cell_length_c 6.258
_cell_angle_alpha 90.00
_cell_angle_beta 90.00
_cell_angle_gamma 90.00
_space_group_name_H-M_alt 'P 1'
_space_group_IT_number 1
_space_group_name_Hall 'P 1'
loop_
_atom_site_label
_atom_site_type_symbol
_atom_site_fract_x
_atom_site_fract_y
_atom_site_fract_z
_atom_site_occupancy
Ge1 Ge 0.500 0.500 0.677 1
Pm1 Pm 0.000 0.000 0.530 1
Ru1 Ru 0.500 0.000 0.876 1
Ru2 Ru 0.000 0.500 0.876 1
Si1 Si 0.000 0.000 0.041 1
```

The highest total energy belongs to which entry? PmScGeRu

Which of these has the lowest total energy? PmSiGeRu2

Which of these has the lowest total energy? PmSiGeRu2